A) Material: Dy2ThIn
Method: DFT, PBE
State: relaxed

Output
Space group: No. 160

a b c (Å): 3.5631 3.5631 11.1503
angles (deg): 80.81 80.81 60.00
Positions (direct):
1 Dy 0.0780 0.0780 0.7660
2 Dy 0.2555 0.2555 0.2335
3 Th 0.5001 0.5001 0.4997
4 In 0.6664 0.6664 0.0008

=====

B) Material: Dy2ThIn
Method: DFT, PBE
State: relaxed

Output
Space group: No. 123

a b c (Å): 3.5792 3.5792 9.0595
angles (deg): 90.00 90.00 90.00
Positions (direct):
1 In 0.5000 0.5000 0.0000
2 Th 0.5000 0.5000 0.5000
3 Dy 0.0000 0.0000 0.7677
4 Dy 0.0000 0.0000 0.2323

=====

Which structure is the most stable? The one labeled B).

=====

A) Material: DyTh3In4
Method: DFT, PBE
State: relaxed

Output
Space group: No. 31

a b c (Å): 6.8065 6.8509 9.7230
angles (deg): 90.00 90.00 90.00
Positions (direct):
1 Dy 0.8145 0.4999 0.0000
2 Dy 0.3145 0.5001 0.5000
3 Th 0.8140 0.9999 0.0000
4 Th 0.0645 0.7633 0.2499
5 Th 0.5645 0.2367 0.2501
6 Th 0.3140 0.0001 0.5000
7 Th 0.5645 0.2367 0.7499
8 Th 0.0645 0.7633 0.7501
9 In 0.3140 0.0007 0.0000
10 In 0.3147 0.5002 0.0000
11 In 0.0645 0.2615 0.2499
12 In 0.5645 0.7385 0.2501
13 In 0.8147 0.4998 0.5000
14 In 0.8140 0.9993 0.5000
15 In 0.5645 0.7385 0.7499
16 In 0.0645 0.2615 0.7501

=====

B) Material: DyTh3In4
Method: DFT, PBE
State: relaxed

Output
Space group: No. 47

a b c (Å): 3.3210 5.8661 11.7139
angles (deg): 90.00 90.00 90.00
Site moments in Bohr magnetons follow the coordinates.
Positions (direct):
1 In 0.0000 0.0000 0.5000  0.00
2 In 0.0000 0.5000 0.7564  0.00
3 In 0.0000 0.0000 0.0000  0.00
4 In 0.0000 0.5000 0.2436  0.00
5 Th 0.5000 0.0000 0.2494  0.01
6 Th 0.5000 0.5000 0.5000  0.01
7 Th 0.5000 0.0000 0.7506  0.01
8 Dy 0.5000 0.5000 0.0000  0.25

=====

Which structure is the most stable? The one labeled B).

=====

A) Material: Dy3ThIn
Method: DFT, PBE
State: relaxed

Output
Space group: No. 14

a b c (Å): 5.5175 9.5791 11.5995
angles (deg): 91.94 90.00 90.00
Positions (direct):
1 Dy 0.9997 0.8964 0.2353
2 Dy 0.0003 0.1036 0.7647
3 Dy 0.4997 0.1036 0.2647
4 Dy 0.5003 0.8964 0.7353
5 Dy 0.4995 0.7638 0.3576
6 Dy 0.5005 0.2362 0.6424
7 Dy 0.9995 0.2361 0.1424
8 Dy 0.0005 0.7639 0.8576
9 Dy 0.0012 0.4662 0.6442
10 Dy 0.9988 0.5338 0.3558
11 Dy 0.5013 0.5337 0.8558
12 Dy 0.4987 0.4663 0.1442
13 Th 0.0004 0.8332 0.5455
14 Th 0.9996 0.1668 0.4545
15 Th 0.5004 0.1668 0.9544
16 Th 0.4996 0.8332 0.0456
17 In 0.9986 0.6139 0.0911
18 In 0.0014 0.3861 0.9089
19 In 0.4987 0.3861 0.4089
20 In 0.5013 0.6139 0.5911

=====

B) Material: Dy3ThIn
Method: DFT, PBE
State: relaxed

Output
Space group: No. 63

a b c (Å): 4.8821 4.8318 12.8162
angles (deg): 90.00 79.02 90.00
Positions (direct):
1 Dy 0.7707 0.2500 0.1070
2 Dy 0.3747 0.2500 0.8989
3 Dy 0.5748 0.2500 0.4987
4 Dy 0.2736 0.7500 0.1011
5 Dy 0.8776 0.7500 0.8930
6 Dy 0.0735 0.7500 0.5013
7 Th 0.4744 0.7500 0.6995
8 Th 0.1739 0.2500 0.3005
9 In 0.6723 0.7500 0.3038
10 In 0.9761 0.2500 0.6962

=====

Which structure is the most stable? The one labeled B).

=====

A) Material: Dy2TiIn
Method: DFT, PBE
State: relaxed

Output
Space group: No. 166

a b c (Å): 3.3066 3.3066 11.4836
angles (deg): 81.72 81.72 60.00
Site moments in Bohr magnetons follow the coordinates.
Positions (direct):
1 In 0.5000 0.5000 0.5000  0.00
2 Ti 0.0000 0.0000 0.0000  1.34
3 Dy 0.0873 0.0873 0.7382  0.15
4 Dy 0.9127 0.9127 0.2618  0.15

=====

B) Material: Dy2TiIn
Method: DFT, PBE
State: relaxed

Output
Space group: No. 123

a b c (Å): 4.5017 4.7318 4.7318
angles (deg): 90.00 90.00 90.00
Site moments in Bohr magnetons follow the coordinates.
Positions (direct):
1 In 0.5000 0.0000 0.0000  -0.04
2 Ti 0.5000 0.5000 0.5000  1.23
3 Dy 0.0000 0.0000 0.5000  0.20
4 Dy 0.0000 0.5000 0.0000  0.20

=====

C) Material: Dy2TiIn
Method: DFT, PBE
State: relaxed

Output
Space group: No. 123

a b c (Å): 3.4857 3.4857 8.4032
angles (deg): 90.00 90.00 90.00
Positions (direct):
1 In 0.5000 0.5000 0.5000
2 Ti 0.5000 0.5000 0.0000
3 Dy 0.0000 0.0000 0.7559
4 Dy 0.0000 0.0000 0.2441

=====

Which structure is the most stable? The one labeled B).

=====

A) Material: Dy4Tl2In
Method: DFT, PBE
State: relaxed

Output
Space group: No. 11

a b c (Å): 7.3331 6.6285 9.5459
angles (deg): 90.00 116.63 90.00
Positions (direct):
1 Dy 0.5554 0.4959 0.2241
2 Dy 0.0347 0.7500 0.8454
3 Dy 0.9653 0.2500 0.1546
4 Dy 0.5554 0.0041 0.2241
5 Dy 0.9688 0.2500 0.5449
6 Dy 0.4446 0.9959 0.7759
7 Dy 0.4446 0.5041 0.7759
8 Dy 0.0312 0.7500 0.4551
9 Tl 0.7692 0.7500 0.0581
10 Tl 0.2308 0.2500 0.9419
11 Tl 0.3882 0.2500 0.4553
12 Tl 0.6118 0.7500 0.5447
13 In 0.2054 0.7500 0.2145
14 In 0.7946 0.2500 0.7855

=====

B) Material: Dy4Tl2In
Method: DFT, PBE
State: relaxed

Output
Space group: No. 166

a b c (Å): 5.2592 5.2592 9.1478
angles (deg): 73.29 73.29 60.00
Positions (direct):
1 Tl 0.7531 0.7531 0.7406
2 Tl 0.2469 0.2469 0.2594
3 In 0.0000 0.0000 0.0000
4 Dy 0.8733 0.8733 0.3801
5 Dy 0.1267 0.1267 0.6199
6 Dy 0.6210 0.6210 0.1369
7 Dy 0.3790 0.3790 0.8631

=====

Which structure is the most stable? The one labeled B).

=====

A) Material: Dy3TlIn
Method: DFT, PBE
State: relaxed

Output
Space group: No. 63

a b c (Å): 5.0314 5.0305 11.4082
angles (deg): 90.00 77.26 90.00
Site moments in Bohr magnetons follow the coordinates.
Positions (direct):
1 Dy 0.7669 0.2500 0.1145  -0.01
2 Dy 0.3818 0.2500 0.8847  -0.01
3 Dy 0.5743 0.2500 0.4998  0.11
4 Dy 0.2665 0.7500 0.1153  -0.01
5 Dy 0.8814 0.7500 0.8855  -0.01
6 Dy 0.0741 0.7500 0.5002  0.11
7 Tl 0.4776 0.7500 0.6931  0.00
8 Tl 0.1707 0.2500 0.3069  0.00
9 In 0.6702 0.7500 0.3079  0.00
10 In 0.9781 0.2500 0.6921  0.00

=====

B) Material: Dy3TlIn
Method: DFT, PBE
State: relaxed

Output
Space group: No. 194

a b c (Å): 5.6586 8.0275 8.0275
angles (deg): 119.99 90.00 90.00
Positions (direct):
1 Dy 0.2500 0.8058 0.1942
2 Dy 0.7500 0.1942 0.8058
3 Dy 0.2500 0.8057 0.6117
4 Dy 0.7500 0.1943 0.3883
5 Dy 0.2500 0.3883 0.1943
6 Dy 0.7500 0.6117 0.8057
7 Tl 0.0000 0.0000 0.0000
8 Tl 0.5000 0.0000 0.0000
9 In 0.2500 0.3335 0.6665
10 In 0.7500 0.6665 0.3335

=====

Which structure is the most stable? The one labeled A).

=====

A) Material: Dy6Tl5In
Method: DFT, PBE
State: relaxed

Output
Space group: No. 12

a b c (Å): 6.5404 9.8026 7.4462
angles (deg): 48.83 81.70 77.33
Positions (direct):
1 Dy 0.7501 0.0844 0.3318
2 Dy 0.2499 0.5838 0.3318
3 Dy 0.2454 0.2515 0.0000
4 Dy 0.7546 0.7485 0.0000
5 Dy 0.7501 0.4162 0.6682
6 Dy 0.2499 0.9156 0.6682
7 Tl 0.5000 0.1641 0.6718
8 Tl 0.0000 0.3299 0.3402
9 Tl 0.5000 0.5000 0.0000
10 Tl 0.0000 0.6701 0.6598
11 Tl 0.5000 0.8359 0.3282
12 In 0.0000 0.0000 0.0000

=====

B) Material: Dy6Tl5In
Method: DFT, PBE
State: relaxed

Output
Space group: No. 65

a b c (Å): 5.3860 7.4814 8.5201
angles (deg): 90.00 71.57 90.00
Positions (direct):
1 Tl 0.6669 0.5000 0.6661
2 Tl 0.3332 0.0000 0.3336
3 Tl 0.0000 0.5000 0.0000
4 Tl 0.6668 0.0000 0.6664
5 Tl 0.3331 0.5000 0.3339
6 In 0.0000 0.0000 0.0000
7 Dy 0.8338 0.7506 0.3324
8 Dy 0.8338 0.2494 0.3324
9 Dy 0.5000 0.2491 0.0000
10 Dy 0.5000 0.7509 0.0000
11 Dy 0.1662 0.7506 0.6676
12 Dy 0.1662 0.2494 0.6676

=====

Which structure is the most stable? The one labeled B).

=====

A) Material: DyTlIn2
Method: DFT, PBE
State: relaxed

Output
Space group: No. 123

a b c (Å): 3.8363 3.8363 7.4031
angles (deg): 90.00 90.00 90.00
Positions (direct):
1 Tl 0.5000 0.5000 0.5000
2 In 0.0000 0.0000 0.7496
3 In 0.0000 0.0000 0.2504
4 Dy 0.5000 0.5000 0.0000

=====

B) Material: DyTlIn2
Method: DFT, PBE
State: relaxed

Output
Space group: No. 225

a b c (Å): 5.3947 5.3947 5.3990
angles (deg): 60.03 60.03 60.00
Positions (direct):
1 Tl 0.5000 0.5000 0.5000
2 In 0.7499 0.7499 0.7502
3 In 0.2501 0.2501 0.2498
4 Dy 0.0000 0.0000 0.0000

=====

C) Material: DyTlIn2
Method: DFT, PBE
State: relaxed

Output
Space group: No. 123

a b c (Å): 4.7435 4.6567 4.6567
angles (deg): 90.00 90.00 90.00
Positions (direct):
1 Tl 0.5000 0.0000 0.0000
2 In 0.0000 0.0000 0.5000
3 In 0.0000 0.5000 0.0000
4 Dy 0.5000 0.5000 0.5000

=====

Which structure is the most stable? The one labeled C).